First-principles (PBE-GGA) data for a relaxed BaPmMgAl crystal, as listed in the Alexandria database.

Lattice parameters (Å, degrees): 7.959 7.959 7.959 90.00 90.00 90.00
Space group F-43m (No. 216)
Symmetry-distinct sites (fractional):
Ba 0.000 0.000 0.000 [4 per cell]
Pm 0.000 0.000 0.500 [4 per cell]
Mg 0.250 0.250 0.750 [4 per cell]
Al 0.250 0.250 0.250 [4 per cell]

Summary:
**ΔH_f (0 K)**: -0.04 eV per atom
**Total magnetization**: 0.0 μB per formula unit
**N(E_F)**: 16.2 states/eV per cell